Version i
Below is a relaxed LiPbBr2 crystal, with properties calculated at the PBE level.

The volume comes out at 109.6 Å³ per cell. For the spin magnetization, the calculation gives 0.00 μB per cell.

a = 5.4479 Å, b = 5.4479 Å, c = 3.6926 Å
α = 90.00°, β = 90.00°, γ = 90.00°
Element x y z (fractional)
1 Li 0.0000 0.0000 0.0000
2 Pb 0.5000 0.5000 0.0000
3 Br 0.0000 0.5000 0.5000
4 Br 0.5000 0.0000 0.5000

---

Version ii
Below is a relaxed LiPbBr2 crystal, with properties calculated at the PBE level.

The volume comes out at 119.5 Å³ per cell. For the spin magnetization, the calculation gives 0.00 μB per cell.

a = 3.7734 Å, b = 3.7734 Å, c = 8.8761 Å
α = 90.00°, β = 90.00°, γ = 108.94°
Element x y z (fractional)
1 Li 0.0000 0.0000 0.0000
2 Pb 0.5000 0.5000 0.4726
3 Br 0.0000 0.0000 0.7207
4 Br 0.5000 0.5000 0.1232

---

It turns out version ii is the most stable, with the second structure 22.5 kJ/mol of atoms higher.

---

Version i
Below is a relaxed LiPbBr2 crystal, with properties calculated at the PBE level.

The volume comes out at 104.3 Å³ per cell. For the spin magnetization, the calculation gives 0.00 μB per cell.

a = 3.8478 Å, b = 3.8478 Å, c = 8.3947 Å
α = 97.30°, β = 97.30°, γ = 58.04°
Element x y z (fractional)
1 Li 0.0000 0.0000 0.0000
2 Pb 0.5000 0.5000 0.5000
3 Br 0.3014 0.3014 0.8109
4 Br 0.6986 0.6986 0.1891

---

Version ii
Below is a relaxed LiPbBr2 crystal, with properties calculated at the PBE level.

The volume comes out at 108.8 Å³ per cell. For the spin magnetization, the calculation gives 0.00 μB per cell.

a = 5.3580 Å, b = 5.3580 Å, c = 5.3580 Å
α = 60.00°, β = 60.00°, γ = 60.00°
Element x y z (fractional)
1 Li 0.0000 0.0000 0.0000
2 Pb 0.5000 0.5000 0.5000
3 Br 0.2500 0.2500 0.2500
4 Br 0.7500 0.7500 0.7500

---

It turns out version i is the most stable, with the second structure 28.8 kJ/mol of atoms higher.

---

Version i
Below is a relaxed LiPbBr2 crystal, with properties calculated at the PBE level.

The volume comes out at 134.5 Å³ per cell. For the spin magnetization, the calculation gives 0.00 μB per cell.

a = 6.4336 Å, b = 6.4336 Å, c = 6.2070 Å
α = 98.12°, β = 98.12°, γ = 31.96°
Element x y z (fractional)
1 Li 0.0000 0.0000 0.0000
2 Pb 0.8240 0.8240 0.3623
3 Br 0.3602 0.3602 0.8365
4 Br 0.5880 0.5880 0.2799

---

Version ii
Below is a relaxed LiPbBr2 crystal, with properties calculated at the PBE level.

The volume comes out at 124.3 Å³ per cell. For the spin magnetization, the calculation gives 0.00 μB per cell.

a = 3.8904 Å, b = 4.8461 Å, c = 6.5908 Å
α = 90.00°, β = 90.00°, γ = 90.00°
Element x y z (fractional)
1 Li 0.0000 0.0000 0.0000
2 Pb 0.5000 0.5000 0.4495
3 Br 0.0000 0.0000 0.3853
4 Br 0.5000 0.5000 0.9533

---

Version iii
Below is a relaxed LiPbBr2 crystal, with properties calculated at the PBE level.

The volume comes out at 109.4 Å³ per cell. For the spin magnetization, the calculation gives 0.00 μB per cell.

a = 3.8135 Å, b = 3.8135 Å, c = 8.6293 Å
α = 90.00°, β = 90.00°, γ = 119.31°
Element x y z (fractional)
1 Li 0.0000 0.0000 0.0000
2 Pb 0.0000 0.0000 0.5000
3 Br 0.5000 0.5000 0.2048
4 Br 0.5000 0.5000 0.7952

---

Version iv
Below is a relaxed LiPbBr2 crystal, with properties calculated at the PBE level.

The volume comes out at 124.7 Å³ per cell. For the spin magnetization, the calculation gives 0.00 μB per cell.

a = 3.9229 Å, b = 4.5256 Å, c = 7.0244 Å
α = 90.00°, β = 90.00°, γ = 90.00°
Element x y z (fractional)
1 Li 0.0000 0.0000 0.0000
2 Pb 0.5000 0.0000 0.5000
3 Br 0.0000 0.5000 0.5000
4 Br 0.5000 0.5000 0.0000

---

It turns out version iii is the most stable, with the second structure 6.0 kJ/mol of atoms higher.

---

Version i
Below is a relaxed LiPbBr2 crystal, with properties calculated at the PBE level.

The volume comes out at 103.6 Å³ per cell. For the spin magnetization, the calculation gives 0.00 μB per cell.

a = 3.5425 Å, b = 3.5425 Å, c = 8.2546 Å
α = 90.00°, β = 90.00°, γ = 90.00°
Element x y z (fractional)
1 Li 0.0000 0.0000 0.0000
2 Pb 0.0000 0.0000 0.5000
3 Br 0.5000 0.5000 0.2045
4 Br 0.5000 0.5000 0.7955

---

Version ii
Below is a relaxed LiPbBr2 crystal, with properties calculated at the PBE level.

The volume comes out at 125.0 Å³ per cell. For the spin magnetization, the calculation gives 0.00 μB per cell.

a = 9.0488 Å, b = 9.0488 Å, c = 9.0488 Å
α = 25.95°, β = 25.95°, γ = 25.95°
Element x y z (fractional)
1 Li 0.0000 0.0000 0.0000
2 Pb 0.2261 0.2261 0.2261
3 Br 0.4831 0.4831 0.4831
4 Br 0.6798 0.6798 0.6798

---

It turns out version ii is the most stable, with the second structure 5.8 kJ/mol of atoms higher.

---

Version i
Below is a relaxed LiPbBr2 crystal, with properties calculated at the PBE level.

The volume comes out at 103.1 Å³ per cell. For the spin magnetization, the calculation gives 0.00 μB per cell.

a = 8.5486 Å, b = 8.5486 Å, c = 8.5486 Å
α = 25.65°, β = 25.65°, γ = 25.65°
Element x y z (fractional)
1 Li 0.0000 0.0000 0.0000
2 Pb 0.5000 0.5000 0.5000
3 Br 0.2695 0.2695 0.2695
4 Br 0.7305 0.7305 0.7305

---

Version ii
Below is a relaxed LiPbBr2 crystal, with properties calculated at the PBE level.

The volume comes out at 229.4 Å³ per cell. For the spin magnetization, the calculation gives 0.00 μB per cell.

a = 6.6826 Å, b = 6.6826 Å, c = 6.6826 Å
α = 110.75°, β = 110.75°, γ = 106.95°
Element x y z (fractional)
1 Li 0.0000 0.0000 0.0000
2 Li 0.7500 0.2500 0.5000
3 Pb 0.2500 0.7500 0.5000
4 Pb 0.5000 0.5000 0.0000
5 Br 0.0531 0.6250 0.9281
6 Br 0.3750 0.3031 0.4281
7 Br 0.6969 0.1250 0.0719
8 Br 0.8750 0.9469 0.5719

---

It turns out version i is the most stable, with the second structure 13.4 kJ/mol of atoms higher.

---

Version i
Below is a relaxed LiPbBr3 crystal, with properties calculated at the PBE level.

The volume comes out at 341.3 Å³ per cell. For the spin magnetization, the calculation gives 0.00 μB per cell.

a = 7.3107 Å, b = 4.4909 Å, c = 10.3984 Å
α = 90.00°, β = 91.51°, γ = 90.00°
Element x y z (fractional)
1 Li 0.1071 0.2500 0.4027
2 Li 0.8929 0.7500 0.5973
3 Pb 0.4106 0.2500 0.8216
4 Pb 0.5894 0.7500 0.1784
5 Br 0.0515 0.2500 0.6495
6 Br 0.2598 0.7500 0.9953
7 Br 0.4381 0.2500 0.3396
8 Br 0.5619 0.7500 0.6604
9 Br 0.7402 0.2500 0.0047
10 Br 0.9485 0.7500 0.3505

---

Version ii
Below is a relaxed LiPbBr3 crystal, with properties calculated at the PBE level.

The volume comes out at 131.5 Å³ per cell. For the spin magnetization, the calculation gives 0.00 μB per cell.

a = 5.0848 Å, b = 5.0848 Å, c = 5.0848 Å
α = 90.00°, β = 90.00°, γ = 90.00°
Element x y z (fractional)
1 Li 0.0000 0.0000 0.0000
2 Pb 0.5000 0.5000 0.5000
3 Br 0.0000 0.0000 0.5000
4 Br 0.0000 0.5000 0.0000
5 Br 0.5000 0.0000 0.0000

---

Version iii
Below is a relaxed LiPbBr3 crystal, with properties calculated at the PBE level.

The volume comes out at 724.0 Å³ per cell. For the spin magnetization, the calculation gives 0.00 μB per cell.

a = 10.1001 Å, b = 10.1001 Å, c = 7.9839 Å
α = 109.21°, β = 109.21°, γ = 79.66°
Element x y z (fractional)
1 Li 0.1230 0.2717 0.1602
2 Li 0.2717 0.1230 0.6602
3 Li 0.7283 0.8770 0.3398
4 Li 0.8770 0.7283 0.8398
5 Pb 0.2229 0.7771 0.2500
6 Pb 0.4038 0.5962 0.7500
7 Pb 0.5962 0.4038 0.2500
8 Pb 0.7771 0.2229 0.7500
9 Br 0.0805 0.2221 0.8161
10 Br 0.1318 0.6392 0.8298
11 Br 0.2221 0.0805 0.3161
12 Br 0.2941 0.4716 0.3252
13 Br 0.3608 0.8682 0.6702
14 Br 0.4716 0.2941 0.8252
15 Br 0.5284 0.7059 0.1748
16 Br 0.6392 0.1318 0.3298
17 Br 0.7059 0.5284 0.6748
18 Br 0.7779 0.9195 0.6839
19 Br 0.8682 0.3608 0.1702
20 Br 0.9195 0.7779 0.1839

---

It turns out version i is the most stable, with the second structure 2.3 kJ/mol of atoms higher.

---

Version i
Below is a relaxed LiPbBr4 crystal, with properties calculated at the PBE level.

The volume comes out at 199.2 Å³ per cell. For the spin magnetization, the calculation gives 0.00 μB per cell.

a = 7.9768 Å, b = 7.9768 Å, c = 6.9107 Å
α = 114.77°, β = 114.77°, γ = 30.18°
Element x y z (fractional)
1 Li 0.0000 0.0000 0.0000
2 Pb 0.5000 0.5000 0.5000
3 Br 0.1196 0.1196 0.8031
4 Br 0.3885 0.3885 0.7357
5 Br 0.6115 0.6115 0.2643
6 Br 0.8804 0.8804 0.1969

---

Version ii
Below is a relaxed LiPbBr4 crystal, with properties calculated at the PBE level.

The volume comes out at 192.3 Å³ per cell. For the spin magnetization, the calculation gives 1.06 μB per cell.

a = 6.4793 Å, b = 6.4793 Å, c = 6.4793 Å
α = 60.00°, β = 60.00°, γ = 60.00°
Element x y z (fractional)
1 Li 0.0000 0.0000 0.0000
2 Pb 0.7500 0.7500 0.7500
3 Br 0.3744 0.3744 0.3744
4 Br 0.3744 0.3744 0.8767
5 Br 0.3744 0.8767 0.3744
6 Br 0.8767 0.3744 0.3744

---

It turns out version i is the most stable, with the second structure 88.3 kJ/mol of atoms higher.

---

Version i
Below is a relaxed LiPrBr2 crystal, with properties calculated at the PBE level.

The volume comes out at 98.9 Å³ per cell. For the spin magnetization, the calculation gives 0.00 μB per cell.

a = 8.1800 Å, b = 8.1800 Å, c = 8.1800 Å
α = 26.91°, β = 26.91°, γ = 26.91°
Element x y z (fractional)
1 Li 0.0000 0.0000 0.0000
2 Pr 0.1663 0.1663 0.1663
3 Br 0.4014 0.4014 0.4014
4 Br 0.5985 0.5985 0.5985

---

Version ii
Below is a relaxed LiPrBr2 crystal, with properties calculated at the PBE level.

The volume comes out at 120.8 Å³ per cell. For the spin magnetization, the calculation gives 0.00 μB per cell.

a = 9.1207 Å, b = 9.1207 Å, c = 9.1207 Å
α = 25.17°, β = 25.17°, γ = 25.17°
Element x y z (fractional)
1 Li 0.0000 0.0000 0.0000
2 Pr 0.5000 0.5000 0.5000
3 Br 0.3903 0.3903 0.3903
4 Br 0.6097 0.6097 0.6097

---

It turns out version i is the most stable, with the second structure 10.2 kJ/mol of atoms higher.